Entry 1:
Below is a relaxed CaYHo4 crystal, with properties calculated at the PBE-GGA level.

Lattice parameters (Å, degrees): 6.6174 6.6174 6.6174 60.00 60.00 60.00
Atoms (fractional coordinates):
Y 0.0000 0.0000 0.0000
Ca 0.2500 0.2500 0.2500
Ho 0.6265 0.6265 0.1205
Ho 0.6265 0.1205 0.6265
Ho 0.6265 0.6265 0.6265
Ho 0.1205 0.6265 0.6265

The energy is -0.3129 Ry/atom. The calculation puts the formation enthalpy at 0 K at 1.2 eV per formula unit. Its crystal system is cubic. Its space-group type is No. 216. As for the volume: 34.15 Å³/atom.


Entry 2:
Below is a relaxed YPb2C2 crystal, with properties calculated at the PBE-GGA level.

Lattice parameters (Å, degrees): 4.6632 4.6632 5.6638 65.69 65.69 90.00
Atoms (fractional coordinates):
Pb 0.3348 0.3348 0.3305
Pb 0.6652 0.6652 0.6695
Y 0.0000 0.0000 0.0000
C 0.7500 0.2500 0.5000
C 0.2500 0.7500 0.5000

The energy is -0.3741 Ry/atom. The calculation puts the formation enthalpy at 0 K at 6.9 eV per formula unit. Its crystal system is tetragonal. As for the offset from the most stable computed form: 0.00 eV/f.u. Its space-group type is No. 139. As for the volume: 20.03 Å³/atom.


Entry 3:
Below is a relaxed Y3ThMg4 crystal, with properties calculated at the PBE-GGA level.

Lattice parameters (Å, degrees): 3.7970 3.7970 15.3530 90.00 90.00 90.00
Atoms (fractional coordinates):
Y 0.5000 0.5000 0.2509
Y 0.5000 0.5000 0.5000
Y 0.5000 0.5000 0.7491
Mg 0.0000 0.0000 0.8692
Mg 0.0000 0.0000 0.1308
Mg 0.0000 0.0000 0.3759
Mg 0.0000 0.0000 0.6241
Th 0.5000 0.5000 0.0000

The energy is -0.3093 Ry/atom. The calculation puts the formation enthalpy at 0 K at -0.5 eV per formula unit. Its crystal system is tetragonal. Its space-group type is No. 123. As for the volume: 27.67 Å³/atom.


Entry 4:
Below is a relaxed CaAgClF2 crystal, with properties calculated at the PBE-GGA level.

Lattice parameters (Å, degrees): 4.0745 6.5351 8.3960 118.99 90.00 90.00
Atoms (fractional coordinates):
Ca 0.2500 0.3557 0.0947
Ca 0.7500 0.6443 0.9053
Ag 0.2500 0.1825 0.5181
Ag 0.7500 0.8175 0.4819
Cl 0.2500 0.9841 0.1732
Cl 0.7500 0.0159 0.8268
F 0.7500 0.3923 0.6133
F 0.2500 0.6077 0.3867
F 0.7500 0.5302 0.1251
F 0.2500 0.4698 0.8749

The energy is -0.3243 Ry/atom. Its crystal system is monoclinic. Its space-group type is No. 11. As for the volume: 19.56 Å³/atom.


Entry 5:
Below is a relaxed Tc2TeCl crystal, with properties calculated at the PBE-GGA level.

Lattice parameters (Å, degrees): 5.2655 5.2655 5.2655 146.14 116.42 74.01
Atoms (fractional coordinates):
Cl 0.7500 0.2500 0.5000
Tc 0.9974 0.9974 0.0000
Tc 0.5026 0.5026 0.0000
Te 0.2500 0.7500 0.5000

The energy is -0.4149 Ry/atom. Its crystal system is orthorhombic. As for the offset from the most stable computed form: 3.27 eV/f.u. Its space-group type is No. 71. As for the volume: 17.88 Å³/atom.


Entry 6:
Below is a relaxed BaLiAlSi2 crystal, with properties calculated at the PBE-GGA level.

Lattice parameters (Å, degrees): 4.5275 4.5275 6.1304 111.67 111.67 90.00
Atoms (fractional coordinates):
Ba 0.0000 0.0000 0.0000
Li 0.2500 0.7500 0.5000
Al 0.7500 0.2500 0.5000
Si 0.6163 0.6163 0.2326
Si 0.3837 0.3837 0.7674

The energy is -0.2954 Ry/atom. Its crystal system is tetragonal. Its space-group type is No. 119. As for the volume: 21.43 Å³/atom.


Entry 7:
Below is a relaxed CaPm12Dy5 crystal, with properties calculated at the PBE-GGA level.

Lattice parameters (Å, degrees): 11.3280 10.6366 5.9903 90.01 90.03 57.83
Atoms (fractional coordinates):
Ca 0.0000 0.0000 0.0000
Pm 0.8356 0.0000 0.4993
Pm 0.1644 0.0000 0.5007
Pm 0.6513 0.0000 0.9990
Pm 0.3488 0.0000 0.0010
Pm 0.3318 0.6698 0.9981
Pm 0.9983 0.6698 0.0019
Pm 0.0017 0.3302 0.9981
Pm 0.6682 0.3302 0.0019
Pm 0.4986 0.3285 0.5018
Pm 0.8270 0.6715 0.5018
Pm 0.1730 0.3285 0.4982
Pm 0.5014 0.6715 0.4982
Dy 0.5000 0.0000 0.5000
Dy 0.1704 0.6592 0.5000
Dy 0.8296 0.3408 0.5000
Dy 0.6718 0.6564 0.0000
Dy 0.3282 0.3436 0.0000

The energy is -0.3264 Ry/atom. The calculation puts the formation enthalpy at 0 K at 2.1 eV per formula unit. Its crystal system is monoclinic. Its space-group type is No. 12. As for the volume: 33.94 Å³/atom.


Entry 8:
Below is a relaxed AcPuPb2O8 crystal, with properties calculated at the PBE-GGA level.

Lattice parameters (Å, degrees): 5.2696 5.2770 7.3032 90.00 90.00 89.55
Last column: magnetic moment on the atom in μB.
Atoms (fractional coordinates):
Ac 0.0000 0.0000 0.5000  -0.01
Pu 0.0000 0.0000 0.0000  1.68
Pb 0.5000 0.5000 0.7529  0.01
Pb 0.5000 0.5000 0.2471  0.01
O 0.1803 0.8184 0.2058  -0.06
O 0.7207 0.7218 0.0000  -0.07
O 0.8197 0.1816 0.2058  -0.06
O 0.8197 0.1816 0.7942  -0.06
O 0.2793 0.2782 0.0000  -0.07
O 0.1803 0.8184 0.7942  -0.06
O 0.6758 0.6790 0.5000  0.03
O 0.3242 0.3210 0.5000  0.03

The energy is -0.5441 Ry/atom. Its crystal system is monoclinic. Its space-group type is No. 10. As for the volume: 16.92 Å³/atom.


Entry 9:
Below is a relaxed KCdIn crystal, with properties calculated at the PBE-GGA level.

Lattice parameters (Å, degrees): 5.2682 8.7131 8.5179 90.00 90.00 90.00
Atoms (fractional coordinates):
K 0.0000 0.5000 0.8296
K 0.5000 0.0000 0.3296
K 0.0000 0.0000 0.6859
K 0.5000 0.5000 0.1859
In 0.0000 0.8272 0.0965
In 0.0000 0.1728 0.0965
In 0.5000 0.3272 0.5965
In 0.5000 0.6728 0.5965
Cd 0.0000 0.6786 0.4201
Cd 0.0000 0.3214 0.4201
Cd 0.5000 0.1786 0.9201
Cd 0.5000 0.8214 0.9201

The energy is -0.1255 Ry/atom. The calculation puts the formation enthalpy at 0 K at -0.4 eV per formula unit. Its crystal system is orthorhombic. As for the offset from the most stable computed form: 0.00 eV/f.u. Its space-group type is No. 44. As for the volume: 32.58 Å³/atom.


Entry 10:
Below is a relaxed La12DyAl3 crystal, with properties calculated at the PBE-GGA level.

Lattice parameters (Å, degrees): 5.0144 5.0144 20.2945 90.00 90.00 90.00
Atoms (fractional coordinates):
La 0.5000 0.5000 0.0000
La 0.5000 0.5000 0.2569
La 0.5000 0.5000 0.5000
La 0.5000 0.5000 0.7431
La 0.5000 0.0000 0.1336
La 0.5000 0.0000 0.3778
La 0.5000 0.0000 0.6222
La 0.5000 0.0000 0.8664
La 0.0000 0.5000 0.1336
La 0.0000 0.5000 0.3778
La 0.0000 0.5000 0.6222
La 0.0000 0.5000 0.8664
Dy 0.0000 0.0000 0.0000
Al 0.0000 0.0000 0.2560
Al 0.0000 0.0000 0.5000
Al 0.0000 0.0000 0.7440

The energy is -0.3536 Ry/atom. The calculation puts the formation enthalpy at 0 K at -2.0 eV per formula unit. Its crystal system is tetragonal. Its space-group type is No. 123. As for the volume: 31.89 Å³/atom.


Which of these has the lowest energy?
AcPuPb2O8


Look up the energy of the sixth one.
-0.2954 Ry/atom


Among the records above, which one has the highest energy?
KCdIn